No. 1
The following is a DFT calculation (GGA-PBEsol) of CoSi2W after structural relaxation.

extended XYZ file:
```
4
Lattice="-1.920 -2.549 2.679 2.243 -2.419 2.545 0.106 0.809 4.086" Properties=species:S:1:pos:R:3 pbc="T T T"
W 0.322 -3.120 6.982
Co 0.214 -2.080 4.655
Si 0.107 -1.040 2.327
Si 0.000 0.000 0.000
```

Output
- crystal system = cubic

---

No. 2
The following is a DFT calculation (GGA-PBEsol) of Co2SiW after structural relaxation.

extended XYZ file:
```
4
Lattice="-1.797 1.961 -0.038 -0.936 -0.903 -2.321 -4.188 -3.778 3.159" Properties=species:S:1:pos:R:3 pbc="T T T"
Si -1.367 0.529 -1.179
W -3.461 -1.360 0.400
Co -0.876 -0.790 0.660
Co -3.313 -2.988 2.499
```

Output
- crystal system = tetragonal

---

In the order shown, the computed total magnetization values come out to 0.006; 0.103 μB per atom.
In the order shown, the computed VASP energy values come out to -32.173; -36.500 eV for the cell shown.
In the order shown, the computed energy relative to the elements, uncorrected values come out to 0.2163; -0.3679 eV/atom.